# 1
## YTi2Hg2 (PBE)

Data for crystalline YTi2Hg2 at its relaxed geometry.

Its energy above the most stable polymorph in this dataset is 0.0792 eV/atom. The calculation puts the total energy at -4.5343 eV/atom. The value obtained for the energy of formation is 0.037 eV per atom. The total magnetization comes out at 0.432 μB/atom.

The space group is P4/mbm (No. 127) and the conventional cell measures 8.014, 8.014 and 3.398 Å, with angles of 90.00, 90.00 and 90.00 degrees. The inequivalent atoms are Y at (0.000, 0.000, 0.000), Ti at (0.167, 0.333, 0.500) and Hg at (0.132, 0.632, 0.000).

=====

# 2
## PmThBi2 (PBE)

Data for crystalline PmThBi2 at its relaxed geometry.

Its energy above the most stable polymorph in this dataset is 0.1696 eV/atom. The calculation puts the total energy at -5.5783 eV/atom. The value obtained for the energy of formation is -0.595 eV per atom. The total magnetization comes out at 0.000 μB/atom.

The space group is Fm-3m (No. 225) and the conventional cell measures 7.900, 7.900 and 7.900 Å, with angles of 90.00, 90.00 and 90.00 degrees. The inequivalent atoms are Pm at (0.000, 0.000, 0.000), Th at (0.000, 0.000, 0.500) and Bi at (0.250, 0.250, 0.250).

=====

# 3
## SbRuW (PBE)

Data for crystalline SbRuW at its relaxed geometry.

Its energy above the most stable polymorph in this dataset is 0.0000 eV/atom. The calculation puts the total energy at -8.5871 eV/atom. The total magnetization comes out at 0.000 μB/atom. As for the raw formation energy: 197 meV per atom.

The space group is F-43m (No. 216) and the conventional cell measures 6.122, 6.122 and 6.122 Å, with angles of 90.00, 90.00 and 90.00 degrees. The inequivalent atoms are Sb at (0.000, 0.000, 0.000), Ru at (0.250, 0.250, 0.250) and W at (0.000, 0.000, 0.500).